Record 1
First-principles (PBE) data for a relaxed YTi3Rh crystal, as listed in Alexandria.

Output
Energy above the most stable polymorph in this dataset in eV/atom: 0.0000
Size of the total moment in μB per formula unit: 0.000
Crystal system: cubic
Formation energy from the elements in eV/f.u.: 0.702

```
data_YTi3Rh
_chemical_formula_sum 'Y1 Ti3 Rh1'
_symmetry_space_group_name_H-M 'P m -3 m'
_symmetry_Int_Tables_number 221
_symmetry_space_group_name_Hall '-P 4 2 3'
_cell_length_a 4.794
_cell_length_b 4.794
_cell_length_c 4.794
_cell_angle_alpha 90.00
_cell_angle_beta 90.00
_cell_angle_gamma 90.00
loop_
_atom_site_label
_atom_site_type_symbol
_atom_site_fract_x
_atom_site_fract_y
_atom_site_fract_z
Y1 Y 0.000 0.000 0.000
Ti1 Ti 0.000 0.500 0.500
Rh1 Rh 0.500 0.500 0.500
```

=====

Record 2
First-principles (PBE) data for a relaxed YTi2Rh2 crystal, as listed in Alexandria.

Output
Energy above the most stable polymorph in this dataset in eV/atom: 0.2618
Size of the total moment in μB per formula unit: 1.409
Crystal system: tetragonal
Formation energy from the elements in eV/f.u.: -2.054

```
data_YTi2Rh2
_chemical_formula_sum 'Y2 Ti4 Rh4'
_symmetry_space_group_name_H-M 'I 4/m m m'
_symmetry_Int_Tables_number 139
_symmetry_space_group_name_Hall '-I 4 2'
_cell_length_a 4.415
_cell_length_b 4.415
_cell_length_c 9.919
_cell_angle_alpha 90.00
_cell_angle_beta 90.00
_cell_angle_gamma 90.00
loop_
_atom_site_label
_atom_site_type_symbol
_atom_site_fract_x
_atom_site_fract_y
_atom_site_fract_z
Y1 Y 0.000 0.000 0.000
Ti1 Ti 0.000 0.000 0.368
Rh1 Rh 0.000 0.500 0.250
```

=====

Record 3
First-principles (PBE) data for a relaxed Y3TiRh crystal, as listed in Alexandria.

Output
Energy above the most stable polymorph in this dataset in eV/atom: 0.0000
Size of the total moment in μB per formula unit: 3.101
Crystal system: cubic
Formation energy from the elements in eV/f.u.: 0.366

```
data_Y3TiRh
_chemical_formula_sum 'Y3 Ti1 Rh1'
_symmetry_space_group_name_H-M 'P m -3 m'
_symmetry_Int_Tables_number 221
_symmetry_space_group_name_Hall '-P 4 2 3'
_cell_length_a 5.335
_cell_length_b 5.335
_cell_length_c 5.335
_cell_angle_alpha 90.00
_cell_angle_beta 90.00
_cell_angle_gamma 90.00
loop_
_atom_site_label
_atom_site_type_symbol
_atom_site_fract_x
_atom_site_fract_y
_atom_site_fract_z
Y1 Y 0.000 0.000 0.500
Ti1 Ti 0.500 0.500 0.500
Rh1 Rh 0.000 0.000 0.000
```

=====

Record 4
First-principles (PBE) data for a relaxed YTi2Rh2 crystal, as listed in Alexandria.

Output
Energy above the most stable polymorph in this dataset in eV/atom: 0.0000
Size of the total moment in μB per formula unit: 0.000
Crystal system: tetragonal
Formation energy from the elements in eV/f.u.: -3.363

```
data_YTi2Rh2
_chemical_formula_sum 'Y2 Ti4 Rh4'
_symmetry_space_group_name_H-M 'I 4/m m m'
_symmetry_Int_Tables_number 139
_symmetry_space_group_name_Hall '-I 4 2'
_cell_length_a 4.240
_cell_length_b 4.240
_cell_length_c 10.705
_cell_angle_alpha 90.00
_cell_angle_beta 90.00
_cell_angle_gamma 90.00
loop_
_atom_site_label
_atom_site_type_symbol
_atom_site_fract_x
_atom_site_fract_y
_atom_site_fract_z
Y1 Y 0.000 0.000 0.000
Ti1 Ti 0.000 0.500 0.250
Rh1 Rh 0.000 0.000 0.378
```